Record 1
A plane-wave DFT calculation with GGA-PBE was carried out for a geometry-optimized Er2BiAu structure.

Calculated values
space-group type	R-3m (166)
total magnetization	0.000	Bohr magnetons per cell
E_form	-67	kJ per mole of atoms

a = 7.355 Å, b = 7.355 Å, c = 7.355 Å
α = 34.51°, β = 34.51°, γ = 34.51°
Element x y z (fractional)
Er (0.241, 0.241, 0.241)
Er (0.759, 0.759, 0.759)
Bi (0.000, 0.000, 0.000)
Au (0.500, 0.500, 0.500)

Record 2
A plane-wave DFT calculation with GGA-PBE was carried out for a geometry-optimized TeI2BrN structure.

Calculated values
space-group type	P4/mmm (123)
total magnetization	2.273	Bohr magnetons per cell
energy relative to the lowest polymorph listed for this composition	43.9	kJ/mol of atoms

a = 7.539 Å, b = 7.539 Å, c = 3.550 Å
α = 90.00°, β = 90.00°, γ = 90.00°
Element x y z (fractional)
Te (0.000, 0.000, 0.000)
I (0.000, 0.500, 0.500)
I (0.500, 0.000, 0.500)
Br (0.500, 0.500, 0.500)
N (0.500, 0.500, 0.000)

Record 3
A plane-wave DFT calculation with GGA-PBE was carried out for a geometry-optimized Pm4PrEr2Tm2 structure.

Calculated values
space-group type	C2/m (12)
total magnetization	0.000	Bohr magnetons per cell
E_form	3	kJ per mole of atoms

a = 8.869 Å, b = 8.869 Å, c = 9.659 Å
α = 101.13°, β = 101.13°, γ = 23.45°
Element x y z (fractional)
Pm (0.015, 0.015, 0.329)
Pm (0.321, 0.321, 0.754)
Pm (0.679, 0.679, 0.246)
Pm (0.985, 0.985, 0.671)
Pr (0.500, 0.500, 0.000)
Er (0.348, 0.348, 0.405)
Er (0.652, 0.652, 0.595)
Tm (0.166, 0.166, 0.921)
Tm (0.834, 0.834, 0.079)

Record 4
A plane-wave DFT calculation with GGA-PBE was carried out for a geometry-optimized Ti2GaB2 structure.

Calculated values
space-group type	P4/mbm (127)
total magnetization	0.000	Bohr magnetons per cell
E_form	-62	kJ per mole of atoms

a = 5.761 Å, b = 5.761 Å, c = 3.374 Å
α = 90.00°, β = 90.00°, γ = 90.00°
Element x y z (fractional)
Ti (0.177, 0.323, 0.000)
Ti (0.323, 0.823, 0.000)
Ti (0.677, 0.177, 0.000)
Ti (0.823, 0.677, 0.000)
Ga (0.000, 0.000, 0.500)
Ga (0.500, 0.500, 0.500)
B (0.105, 0.605, 0.500)
B (0.395, 0.105, 0.500)
B (0.605, 0.895, 0.500)
B (0.895, 0.395, 0.500)

Look up the total magnetization of the first one. 0.000 Bohr magnetons per cell

Look up the total magnetization of the fourth one. 0.000 Bohr magnetons per cell